1) # Dy2MgCr (GGA-PBE, relaxed)
data_Dy2MgCr
_chemical_formula_sum 'Dy2 Mg1 Cr1'
_cell_length_a 5.189
_cell_length_b 5.189
_cell_length_c 5.189
_cell_angle_alpha 60.00
_cell_angle_beta 60.00
_cell_angle_gamma 60.00
_symmetry_space_group_name_H-M 'P 1'
_symmetry_Int_Tables_number 1
loop_
_symmetry_equiv_pos_as_xyz
'x,y,z'
loop_
_atom_site_label
_atom_site_type_symbol
_atom_site_fract_x
_atom_site_fract_y
_atom_site_fract_z
Dy1 Dy 0.250 0.250 0.250
Dy2 Dy 0.750 0.750 0.750
Mg1 Mg 0.000 0.000 0.000
Cr1 Cr 0.500 0.500 0.500
# SG = No. 225
# calculated volume = 24.7 Å³/atom

***

2) # Dy2MgCr (GGA-PBE, relaxed)
data_Dy2MgCr
_chemical_formula_sum 'Dy2 Mg1 Cr1'
_cell_length_a 3.577
_cell_length_b 3.577
_cell_length_c 7.857
_cell_angle_alpha 90.00
_cell_angle_beta 90.00
_cell_angle_gamma 90.00
_symmetry_space_group_name_H-M 'P 1'
_symmetry_Int_Tables_number 1
loop_
_symmetry_equiv_pos_as_xyz
'x,y,z'
loop_
_atom_site_label
_atom_site_type_symbol
_atom_site_fract_x
_atom_site_fract_y
_atom_site_fract_z
Dy1 Dy 0.000 0.000 0.219
Dy2 Dy 0.000 0.000 0.781
Mg1 Mg 0.500 0.500 0.500
Cr1 Cr 0.500 0.500 0.000
# SG = No. 123
# calculated volume = 25.1 Å³/atom

***

The computed energies, referenced to the most stable structure and given in eV/atom, are 1) 0.009; 2) 0.000.